Material: In2CoHg
Method: DFT, PBE
State: relaxed

Properties
Crystal system: tetragonal
E_form (eV per formula unit): 1.37

abc: 4.307 4.307 8.548
angles: 90.00 90.00 90.00
Space group I4/mmm (No. 139)
Unique sites:
1 In 0.000 0.500 0.250 x4
2 Co 0.000 0.000 0.000 x2
3 Hg 0.000 0.000 0.500 x2

Material: KIn2CoHg
Method: DFT, PBE
State: relaxed

Properties
Crystal system: tetragonal
E_form (eV per formula unit): -0.29

abc: 4.994 4.994 5.257
angles: 90.00 90.00 90.00
Space group P4/mmm (No. 123)
Unique sites:
1 K 0.000 0.000 0.000 x1
2 In 0.000 0.500 0.500 x2
3 Co 0.500 0.500 0.500 x1
4 Hg 0.500 0.500 0.000 x1

Material: La2InCoHg
Method: DFT, PBE
State: relaxed

Properties
Crystal system: tetragonal
Relative energy among the computed polymorphs (eV/atom): 0.059
E_form (eV per formula unit): -1.50

abc: 5.186 5.186 5.100
angles: 90.00 90.00 90.00
Space group P4/mmm (No. 123)
Unique sites:
1 La 0.000 0.500 0.000 x2
2 In 0.000 0.000 0.500 x1
3 Co 0.500 0.500 0.000 x1
4 Hg 0.500 0.500 0.500 x1

Material: La3In3CoHg2
Method: DFT, PBE
State: relaxed

Properties
Crystal system: hexagonal
E_form (eV per formula unit): -3.91

abc: 7.7824 7.7824 4.4858
angles: 90.00 90.00 120.00
Space group P-62m (No. 189)
Unique sites:
1 La 0.0000 0.3835 0.0000 x3
2 In 0.0000 0.7712 0.5000 x3
3 Co 0.0000 0.0000 0.0000 x1
4 Hg 0.3333 0.6667 0.5000 x2

Material: La6In2CoHg
Method: DFT, PBE
State: relaxed

Properties
Crystal system: triclinic
E_form (eV per formula unit): -2.91

abc: 6.653 6.673 6.677
angles: 86.49 86.35 86.55
Space group P-1 (No. 2)
Unique sites:
1 La 0.090 0.253 0.361 x2
2 La 0.248 0.139 0.911 x2
3 La 0.360 0.590 0.753 x2
4 In 0.229 0.729 0.230 x2
5 Co 0.000 0.500 0.000 x1
6 Hg 0.500 0.000 0.500 x1

Material: La2InCoHg
Method: DFT, PBE
State: relaxed

Properties
Crystal system: tetragonal
Relative energy among the computed polymorphs (eV/atom): 0.000
E_form (eV per formula unit): -1.79

abc: 5.242 5.242 5.005
angles: 90.00 90.00 90.00
Space group P4/mmm (No. 123)
Unique sites:
1 La 0.000 0.500 0.000 x2
2 In 0.000 0.000 0.500 x1
3 Co 0.000 0.000 0.000 x1
4 Hg 0.500 0.500 0.500 x1